Record 1
Here is crystalline Pr3Si4Pt2 at its relaxed geometry from Alexandria via LeMat-Bulk. Energies are from GGA-PBE.

a = 11.300 Å, b = 4.161 Å, c = 8.411 Å
α = 90.00°, β = 99.50°, γ = 90.00°
Space group C2/m (No. 12)
Unique sites:
Pr (0.000, 0.000, 0.000) (multiplicity 2)
Pr (0.165, 0.500, 0.665) (multiplicity 4)
Si (0.053, 0.000, 0.388) (multiplicity 4)
Si (0.225, 0.500, 0.064) (multiplicity 4)
Pt (0.108, 0.500, 0.277) (multiplicity 4)

Computed properties:
**Spin magnetization**: 0.00 μB per cell
**Formation energy from raw total energies**: -1.02 eV/atom

---

Record 2
Here is crystalline PrSiPt4 at its relaxed geometry from Alexandria via LeMat-Bulk. Energies are from GGA-PBE.

a = 4.009 Å, b = 15.609 Å, c = 6.812 Å
α = 90.00°, β = 90.00°, γ = 90.00°
Space group Cmcm (No. 63)
Unique sites:
Pr (0.000, 0.103, 0.250) (multiplicity 4)
Si (0.000, 0.237, 0.750) (multiplicity 4)
Pt (0.000, 0.085, 0.750) (multiplicity 4)
Pt (0.000, 0.315, 0.047) (multiplicity 8)
Pt (0.000, 0.500, 0.000) (multiplicity 4)

Computed properties:
**Spin magnetization**: 0.00 μB per cell
**Formation energy from raw total energies**: -0.88 eV/atom

---

Record 3
Here is crystalline PrSi3Pt at its relaxed geometry from Alexandria via LeMat-Bulk. Energies are from GGA-PBE.

a = 4.605 Å, b = 14.270 Å, c = 5.675 Å
α = 90.00°, β = 90.00°, γ = 90.00°
Space group Cmcm (No. 63)
Unique sites:
Pr (0.000, 0.089, 0.250) (multiplicity 4)
Si (0.000, 0.130, 0.750) (multiplicity 4)
Si (0.000, 0.282, 0.530) (multiplicity 8)
Pt (0.000, 0.421, 0.250) (multiplicity 4)

Computed properties:
**Spin magnetization**: 0.00 μB per cell
**Formation energy from raw total energies**: -0.46 eV/atom

---

Record 4
Here is crystalline Pr3SiPt2 at its relaxed geometry from Alexandria via LeMat-Bulk. Energies are from GGA-PBE.

a = 11.954 Å, b = 4.166 Å, c = 12.294 Å
α = 90.00°, β = 90.00°, γ = 90.00°
Space group Pnma (No. 62)
Unique sites:
Pr (0.061, 0.250, 0.120) (multiplicity 4)
Pr (0.123, 0.750, 0.554) (multiplicity 4)
Pr (0.197, 0.250, 0.804) (multiplicity 4)
Si (0.121, 0.250, 0.364) (multiplicity 4)
Pt (0.025, 0.750, 0.313) (multiplicity 4)
Pt (0.186, 0.750, 0.980) (multiplicity 4)

Computed properties:
**Spin magnetization**: 0.00 μB per cell
**Formation energy from raw total energies**: -0.92 eV/atom

---

Record 5
Here is crystalline Pr3Si11Pt23 at its relaxed geometry from Alexandria via LeMat-Bulk. Energies are from GGA-PBE.

a = 17.056 Å, b = 17.056 Å, c = 17.056 Å
α = 90.00°, β = 90.00°, γ = 90.00°
Space group Fm-3m (No. 225)
Unique sites:
Pr (0.000, 0.250, 0.250) (multiplicity 24)
Si (0.000, 0.000, 0.171) (multiplicity 24)
Si (0.107, 0.107, 0.393) (multiplicity 32)
Si (0.165, 0.165, 0.165) (multiplicity 32)
Pt (0.000, 0.000, 0.374) (multiplicity 24)
Pt (0.083, 0.083, 0.083) (multiplicity 32)
Pt (0.084, 0.084, 0.252) (multiplicity 96)
Pt (0.192, 0.192, 0.308) (multiplicity 32)

Computed properties:
**Spin magnetization**: 0.00 μB per cell
**Formation energy from raw total energies**: -0.90 eV/atom

---

Record 6
Here is crystalline Pr4SiPt4 at its relaxed geometry from Alexandria via LeMat-Bulk. Energies are from GGA-PBE.

a = 8.490 Å, b = 8.490 Å, c = 6.446 Å
α = 90.00°, β = 90.00°, γ = 90.00°
Space group P4_2/nmc (No. 137, origin choice 2)
Unique sites:
Pr (0.027, 0.250, 0.069) (multiplicity 8)
Si (0.250, 0.750, 0.250) (multiplicity 2)
Pt (0.021, 0.750, 0.469) (multiplicity 8)

Computed properties:
**Spin magnetization**: 0.00 μB per cell
**Formation energy from raw total energies**: -0.97 eV/atom